A plane-wave DFT calculation with PBE+U was carried out for an optimized crystal structure of SrCoO3.

abc: 3.6577 3.6577 11.6086
angles: 80.94 80.94 90.00
Atoms (fractional coordinates):
1 O 0.6834 0.6834 0.6333
2 O 0.2102 0.9075 0.1850
3 O 0.0925 0.3951 0.8150
4 O 0.3166 0.3166 0.3667
5 O 0.0925 0.7898 0.8150
6 O 0.6049 0.9075 0.1850
7 Sr 0.0000 0.0000 0.0000
8 Sr 0.2500 0.7500 0.5000
9 Co 0.8633 0.3633 0.2735
10 Co 0.6367 0.1367 0.7265

Values from the calculation:
Fermi-level density of states	0.93	states/eV/cell
DFT total energy	-5.2922	eV per atom
total magnetic moment	6.0	μB/cell